Entry from Alexandria: a relaxed PrCdBiPb crystal (PBE-GGA).

Output
For the energy of formation, the calculation gives -434 meV per atom. Its raw total energy is -3.755 eV/atom.

Unit cell a=4.618 b=4.967 c=5.055 alpha=90.00 beta=90.00 gamma=90.00
Atoms (fractional coordinates):
1 Pr 0.000 0.000 0.000
2 Cd 0.000 0.500 0.500
3 Bi 0.500 0.500 0.000
4 Pb 0.500 0.000 0.500